(1)
DFT (PBE-GGA) results for an optimized crystal structure of Ca3AlNi.

Lattice parameters (Å, degrees): 5.3284 5.3284 5.3284 90.00 90.00 90.00
Positions (direct):
Ni  0.0000  0.0000  0.0000
Ca  0.0000  0.5000  0.0000
Ca  0.0000  0.0000  0.5000
Ca  0.5000  0.0000  0.0000
Al  0.5000  0.5000  0.5000

Calculated formation energy = 0.066 eV per atom
Spin magnetization = 0.00 μB/f.u.
SG = Pm-3m (221)

---

(2)
DFT (PBE-GGA) results for an optimized crystal structure of NdTm3Sc6.

Lattice parameters (Å, degrees): 5.8520 10.3460 10.3460 119.49 90.00 90.00
Positions (direct):
Nd  0.1793  0.2130  0.7870
Nd  0.6793  0.7870  0.2130
Tm  0.4678  0.9254  0.7176
Tm  0.9678  0.7176  0.9254
Tm  0.0661  0.3969  0.6031
Tm  0.5661  0.6031  0.3969
Tm  0.9678  0.0746  0.2824
Tm  0.4678  0.2824  0.0746
Sc  0.0126  0.7234  0.6170
Sc  0.5126  0.6170  0.7234
Sc  0.3605  0.5494  0.9813
Sc  0.8605  0.9813  0.5494
Sc  0.4272  0.9511  0.0489
Sc  0.6308  0.2960  0.7040
Sc  0.1308  0.7040  0.2960
Sc  0.9272  0.0489  0.9511
Sc  0.3605  0.0187  0.4506
Sc  0.8605  0.4506  0.0187
Sc  0.0126  0.3830  0.2766
Sc  0.5126  0.2766  0.3830

Calculated formation energy = 0.157 eV per atom
Spin magnetization = 0.00 μB/f.u.
SG = Cmc2_1 (36)

---

(3)
DFT (PBE-GGA) results for an optimized crystal structure of LaTbPd2.

Lattice parameters (Å, degrees): 3.5342 3.5342 7.4440 90.00 90.00 90.00
Positions (direct):
Tb  0.5000  0.5000  0.0000
Pd  0.0000  0.0000  0.7743
Pd  0.0000  0.0000  0.2257
La  0.5000  0.5000  0.5000

Calculated formation energy = -0.806 eV per atom
Spin magnetization = 0.00 μB/f.u.
SG = P4/mmm (123)

---

(4)
DFT (PBE-GGA) results for an optimized crystal structure of PmPr2Th3Se6.

Lattice parameters (Å, degrees): 4.2286 8.4301 9.4976 104.26 102.86 90.00
Positions (direct):
Pm  0.5000  0.0000  0.0000
Pr  0.8337  0.6670  0.6675
Pr  0.1663  0.3330  0.3325
Th  0.5000  0.5000  0.0000
Th  0.8322  0.1660  0.6644
Th  0.1678  0.8340  0.3356
Se  0.3348  0.9189  0.6697
Se  0.6665  0.5846  0.3330
Se  0.6652  0.0811  0.3303
Se  0.9987  0.2472  0.9975
Se  0.0013  0.7528  0.0025
Se  0.3335  0.4154  0.6670

Raw formation energy = -1.67 eV per atom
Spin magnetization = 0.00 μB/f.u.
SG = C2/m (12)

---

(5)
DFT (PBE-GGA) results for an optimized crystal structure of TbGdRh2.

Lattice parameters (Å, degrees): 4.8781 4.8784 4.8781 59.99 60.00 60.00
Last column: magnetic moment on the atom in μB.
Positions (direct):
Rh  0.0000  0.0000  0.9999  -0.06
Rh  0.5000  0.5000  0.5001  -0.06
Gd  0.2500  0.2500  0.2500  7.00
Tb  0.7500  0.7500  0.7500  0.02

Calculated formation energy = -0.821 eV per atom
Spin magnetization = 7.02 μB/f.u.
SG = Fm-3m (225)

---

(6)
DFT (PBE-GGA) results for an optimized crystal structure of Mg2ScCu.

Lattice parameters (Å, degrees): 3.1534 3.1534 9.6058 80.55 80.55 60.00
Positions (direct):
Mg  0.0719  0.0719  0.7843
Mg  0.2613  0.2613  0.2160
Sc  0.5001  0.5001  0.4996
Cu  0.6666  0.6666  0.0001

Calculated formation energy = 0.077 eV per atom
Spin magnetization = 0.00 μB/f.u.
SG = R3m (160)